Below is Sc3Ga2Os after structural relaxation, with properties calculated at the PBE level.

**Crystal system**: tetragonal
**Space group**: P4/mmm (123)
**E**: -6.65 eV/atom

Unit cell a=3.3085 b=3.3085 c=9.9032 alpha=90.00 beta=90.00 gamma=90.00
Last column: nearest neighbours and their distance in Å.
Sites, in units of the cell vectors:
Sc1 0.0000 0.0000 0.0000  8 Ga 2.91
Sc2 0.0000 0.0000 0.3473  4 Os 2.79, 4 Ga 2.90, 1 Sc 3.02
Sc3 0.0000 0.0000 0.6527  4 Os 2.79, 4 Ga 2.90, 1 Sc 3.02
Ga1 0.5000 0.5000 0.1750  8 Sc 2.90-2.91, 1 Os 3.22
Ga2 0.5000 0.5000 0.8250  8 Sc 2.90-2.91, 1 Os 3.22
Os1 0.5000 0.5000 0.5000  8 Sc 2.79